(1)
Material: Ba8Sb3I4Br
Method: DFT, PBE-GGA
State: optimized geometry

a = 10.0317 Å, b = 10.0317 Å, c = 10.0318 Å
α = 119.66°, β = 119.66°, γ = 60.34°
Last column: nearest neighbours and their distance in Å.
Fractional coordinates of all 16 atoms:
Ba: 0.2322 0.7455 0.7535  2 Sb 3.40-3.41, 1 Br 3.51, 3 I 3.62-3.72
Ba: 0.2415 0.2415 0.2593  3 Sb 3.44, 3 I 3.68-3.69
Ba: 0.2525 0.2525 0.7325  2 Sb 3.42, 1 Br 3.53, 3 I 3.60-3.70
Ba: 0.2545 0.7678 0.2465  2 Sb 3.40-3.41, 1 Br 3.51, 3 I 3.62-3.72
Ba: 0.7455 0.2322 0.7535  2 Sb 3.40-3.41, 1 Br 3.51, 3 I 3.62-3.72
Ba: 0.7475 0.7475 0.2675  2 Sb 3.42, 1 Br 3.53, 3 I 3.60-3.70
Ba: 0.7585 0.7585 0.7407  3 Sb 3.44, 3 I 3.68-3.69
Ba: 0.7678 0.2545 0.2465  2 Sb 3.40-3.41, 1 Br 3.51, 3 I 3.62-3.72
Sb: 0.0000 0.0000 0.0000  6 Ba 3.41-3.44
Sb: 0.0000 0.5000 0.5000  6 Ba 3.40-3.44
Sb: 0.5000 0.0000 0.5000  6 Ba 3.40-3.44
I: 0.0000 0.0000 0.5000  6 Ba 3.60-3.62
I: 0.0000 0.5000 0.0000  6 Ba 3.69-3.72
I: 0.5000 0.0000 0.0000  6 Ba 3.69-3.72
I: 0.5000 0.5000 0.5000  6 Ba 3.68-3.71
Br: 0.5000 0.5000 0.0000  6 Ba 3.51-3.53

DOS(E_F) in states/eV/atom: 0.40
Formation energy without anion corrections in eV per atom: -1.458
DFT total energy in eV per atom: -3.684
Space-group type: C2/m

(2)
Material: BaSb2IBr
Method: DFT, PBE-GGA
State: optimized geometry

a = 7.0326 Å, b = 7.0326 Å, c = 6.4657 Å
α = 90.00°, β = 90.00°, γ = 90.00°
Last column: nearest neighbours and their distance in Å.
Fractional coordinates of all 5 atoms:
Ba: 0.0000 0.0000 0.0000  2 I 3.23, 4 Sb 3.52
Sb: 0.0000 0.5000 0.0000  2 Ba 3.52
Sb: 0.5000 0.0000 0.0000  2 Ba 3.52
I: 0.0000 0.0000 0.5000  2 Ba 3.23
Br: 0.5000 0.5000 0.5000  8 Sb 4.78, 4 I 4.97

DOS(E_F) in states/eV/atom: 1.95
Offset from the most stable computed form in meV/atom: 526.2
Formation energy without anion corrections in eV per atom: 0.361
DFT total energy in eV per atom: -2.318
Space-group type: P4/mmm

(3)
Material: Ba3SbIBr
Method: DFT, PBE-GGA
State: optimized geometry

a = 9.8252 Å, b = 5.1478 Å, c = 12.2546 Å
α = 90.00°, β = 97.68°, γ = 90.00°
Last column: nearest neighbours and their distance in Å.
Fractional coordinates of all 12 atoms:
Ba: 0.0815 0.2500 0.3579  3 Sb 3.46-3.52, 2 I 3.70
Ba: 0.2337 0.2500 0.9290  3 Br 3.30-3.62, 1 Sb 3.43
Ba: 0.3821 0.7500 0.6353  1 Br 3.21, 2 Sb 3.42, 1 I 3.56
Ba: 0.6179 0.2500 0.3647  1 Br 3.21, 2 Sb 3.42, 1 I 3.56
Ba: 0.7663 0.7500 0.0710  3 Br 3.30-3.62, 1 Sb 3.43
Ba: 0.9185 0.7500 0.6421  3 Sb 3.46-3.52, 2 I 3.70
Sb: 0.1552 0.2500 0.6474  6 Ba 3.42-3.52
Sb: 0.8448 0.7500 0.3526  6 Ba 3.42-3.52
I: 0.3492 0.7500 0.3421  5 Ba 3.56-3.70
I: 0.6508 0.2500 0.6579  5 Ba 3.56-3.70
Br: 0.4362 0.7500 0.8995  3 Ba 3.21-3.30
Br: 0.5638 0.2500 0.1005  3 Ba 3.21-3.30

DOS(E_F) in states/eV/atom: 0.30
Formation energy without anion corrections in eV per atom: -1.401
DFT total energy in eV per atom: -3.587
Space-group type: P2_1/m

(4)
Material: Ba4SbIBr2
Method: DFT, PBE-GGA
State: optimized geometry

a = 8.3586 Å, b = 4.9642 Å, c = 8.5518 Å
α = 90.00°, β = 110.02°, γ = 90.00°
Last column: nearest neighbours and their distance in Å.
Fractional coordinates of all 8 atoms:
Ba: 0.2455 0.0000 0.2350  1 Sb 3.39, 3 Br 3.40-3.54, 2 I 3.54
Ba: 0.2538 0.5000 0.7642  3 Br 3.39-3.53, 2 Sb 3.41, 1 I 3.54
Ba: 0.7462 0.5000 0.2358  3 Br 3.39-3.53, 2 Sb 3.41, 1 I 3.54
Ba: 0.7545 0.0000 0.7650  1 Sb 3.39, 3 Br 3.40-3.54, 2 I 3.54
Sb: 0.5000 0.0000 0.0000  6 Ba 3.39-3.41
I: 0.5000 0.5000 0.5000  6 Ba 3.54
Br: 0.0000 0.0000 0.5000  6 Ba 3.53-3.54
Br: 0.0000 0.5000 0.0000  6 Ba 3.39-3.40

DOS(E_F) in states/eV/atom: 0.49
Formation energy without anion corrections in eV per atom: -1.483
DFT total energy in eV per atom: -3.572
Space-group type: P2/m

(5)
Material: Ba4Sb2IBr
Method: DFT, PBE-GGA
State: optimized geometry

a = 7.1106 Å, b = 7.1106 Å, c = 13.8663 Å
α = 90.00°, β = 90.00°, γ = 90.00°
Last column: nearest neighbours and their distance in Å.
Fractional coordinates of all 16 atoms:
Ba: 0.0000 0.0000 0.2439  1 Br 3.38, 1 I 3.55, 4 Sb 3.56
Ba: 0.0000 0.0000 0.7561  1 Br 3.38, 1 I 3.55, 4 Sb 3.56
Ba: 0.0000 0.5000 0.0000  2 Sb 3.47, 2 Br 3.56, 2 I 3.56
Ba: 0.0000 0.5000 0.5000  2 Sb 3.47, 2 Br 3.56, 2 I 3.56
Ba: 0.5000 0.0000 0.0000  2 Sb 3.47, 2 Br 3.56, 2 I 3.56
Ba: 0.5000 0.0000 0.5000  2 Sb 3.47, 2 Br 3.56, 2 I 3.56
Ba: 0.5000 0.5000 0.2561  1 Br 3.38, 1 I 3.55, 4 Sb 3.56
Ba: 0.5000 0.5000 0.7439  1 Br 3.38, 1 I 3.55, 4 Sb 3.56
Sb: 0.0000 0.5000 0.2500  6 Ba 3.47-3.56
Sb: 0.0000 0.5000 0.7500  6 Ba 3.47-3.56
Sb: 0.5000 0.0000 0.2500  6 Ba 3.47-3.56
Sb: 0.5000 0.0000 0.7500  6 Ba 3.47-3.56
I: 0.0000 0.0000 0.5000  6 Ba 3.55-3.56
I: 0.5000 0.5000 0.0000  6 Ba 3.55-3.56
Br: 0.0000 0.0000 0.0000  6 Ba 3.38-3.56
Br: 0.5000 0.5000 0.5000  6 Ba 3.38-3.56

DOS(E_F) in states/eV/atom: 0.08
Formation energy without anion corrections in eV per atom: -1.392
DFT total energy in eV per atom: -3.786
Space-group type: I4/mmm

(6)
Material: Ba6Sb2IBr3
Method: DFT, PBE-GGA
State: optimized geometry

a = 10.9220 Å, b = 10.9220 Å, c = 9.7166 Å
α = 101.28°, β = 101.28°, γ = 26.41°
Last column: nearest neighbours and their distance in Å.
Fractional coordinates of all 12 atoms:
Ba: 0.0031 0.0031 0.2621  1 Sb 3.35, 3 Br 3.41-3.51, 2 I 3.56
Ba: 0.3294 0.3294 0.9052  2 Sb 3.38, 3 Br 3.43-3.54, 1 I 3.56
Ba: 0.3297 0.3297 0.4268  3 Sb 3.44-3.46, 3 Br 3.55-3.58
Ba: 0.6703 0.6703 0.5732  3 Sb 3.44-3.46, 3 Br 3.55-3.58
Ba: 0.6706 0.6706 0.0948  2 Sb 3.38, 3 Br 3.43-3.54, 1 I 3.56
Ba: 0.9969 0.9969 0.7379  1 Sb 3.35, 3 Br 3.41-3.51, 2 I 3.56
Sb: 0.1640 0.1640 0.3268  6 Ba 3.35-3.46
Sb: 0.8360 0.8360 0.6732  6 Ba 3.35-3.46
I: 0.5000 0.5000 0.0000  6 Ba 3.56
Br: 0.1650 0.1650 0.8344  6 Ba 3.43-3.58
Br: 0.5000 0.5000 0.5000  6 Ba 3.41-3.55
Br: 0.8350 0.8350 0.1656  6 Ba 3.43-3.58

DOS(E_F) in states/eV/atom: 0.38
Formation energy without anion corrections in eV per atom: -1.495
DFT total energy in eV per atom: -3.691
Space-group type: C2/m

(7)
Material: Ba4SbI2Br
Method: DFT, PBE-GGA
State: optimized geometry

a = 8.4501 Å, b = 4.9949 Å, c = 8.7214 Å
α = 90.00°, β = 109.58°, γ = 90.00°
Last column: nearest neighbours and their distance in Å.
Fractional coordinates of all 8 atoms:
Ba: 0.2379 0.0000 0.2267  2 Sb 3.39, 1 Br 3.43, 3 I 3.60-3.64
Ba: 0.2505 0.5000 0.7698  1 Sb 3.37, 2 Br 3.45, 3 I 3.59-3.65
Ba: 0.7495 0.5000 0.2302  1 Sb 3.37, 2 Br 3.45, 3 I 3.59-3.65
Ba: 0.7621 0.0000 0.7733  2 Sb 3.39, 1 Br 3.43, 3 I 3.60-3.64
Sb: 0.0000 0.5000 0.0000  6 Ba 3.37-3.39
I: 0.0000 0.0000 0.5000  6 Ba 3.59-3.60
I: 0.5000 0.5000 0.5000  6 Ba 3.64-3.65
Br: 0.5000 0.0000 0.0000  6 Ba 3.43-3.45

DOS(E_F) in states/eV/atom: 0.51
Formation energy without anion corrections in eV per atom: -1.425
DFT total energy in eV per atom: -3.498
Space-group type: P2/m

(8)
Material: Ba6Sb3IBr2
Method: DFT, PBE-GGA
State: optimized geometry

a = 11.2084 Å, b = 11.2084 Å, c = 10.0185 Å
α = 102.08°, β = 102.08°, γ = 26.03°
Last column: nearest neighbours and their distance in Å.
Fractional coordinates of all 12 atoms:
Ba: 0.0043 0.0043 0.2317  3 Sb 3.42-3.45, 1 Br 3.68, 2 I 3.70
Ba: 0.3260 0.3260 0.4276  3 Sb 3.43-3.46, 2 Br 3.67, 1 I 3.71
Ba: 0.3382 0.3382 0.9044  3 Sb 3.45-3.46, 3 Br 3.63-3.66
Ba: 0.6618 0.6618 0.0956  3 Sb 3.45-3.46, 3 Br 3.63-3.66
Ba: 0.6740 0.6740 0.5724  3 Sb 3.43-3.46, 2 Br 3.67, 1 I 3.71
Ba: 0.9957 0.9957 0.7683  3 Sb 3.42-3.45, 1 Br 3.68, 2 I 3.70
Sb: 0.1657 0.1657 0.3327  6 Ba 3.43-3.46
Sb: 0.5000 0.5000 0.0000  6 Ba 3.42-3.46
Sb: 0.8343 0.8343 0.6673  6 Ba 3.43-3.46
I: 0.5000 0.5000 0.5000  6 Ba 3.70-3.71
Br: 0.1679 0.1679 0.8347  6 Ba 3.63-3.68
Br: 0.8321 0.8321 0.1653  6 Ba 3.63-3.68

Formation energy without anion corrections in eV per atom: -1.472
DFT total energy in eV per atom: -3.872
Space-group type: C2/m

(9)
Material: Ba6Se2I3Br
Method: DFT, PBE-GGA
State: optimized geometry

a = 8.2356 Å, b = 8.2356 Å, c = 8.7128 Å
α = 99.03°, β = 99.03°, γ = 120.01°
Last column: nearest neighbours and their distance in Å.
Fractional coordinates of all 12 atoms:
Ba: 0.0849 0.4279 0.7842  2 Se 3.24, 1 Br 3.34, 1 I 3.58
Ba: 0.2282 0.2282 0.2135  2 Se 3.24, 1 Br 3.33, 1 I 3.56
Ba: 0.4279 0.0849 0.7842  2 Se 3.24, 1 Br 3.34, 1 I 3.58
Ba: 0.5721 0.9151 0.2158  2 Se 3.24, 1 Br 3.34, 1 I 3.58
Ba: 0.7718 0.7718 0.7865  2 Se 3.24, 1 Br 3.33, 1 I 3.56
Ba: 0.9151 0.5721 0.2158  2 Se 3.24, 1 Br 3.34, 1 I 3.58
Se: 0.1670 0.8330 0.0000  6 Ba 3.24
Se: 0.8330 0.1670 0.0000  6 Ba 3.24
I: 0.0000 0.0000 0.5000  6 Ba 3.56-3.65
I: 0.3359 0.6641 0.5000  6 Ba 3.58-3.64
I: 0.6641 0.3359 0.5000  6 Ba 3.58-3.64
Br: 0.5000 0.5000 0.0000  6 Ba 3.33-3.34

DOS(E_F) in states/eV/atom: 0.60
Formation energy without anion corrections in eV per atom: -1.612
DFT total energy in eV per atom: -3.681
Space-group type: C2/m

(10)
Material: Ba4Se2IBr
Method: DFT, PBE-GGA
State: optimized geometry

a = 8.2063 Å, b = 4.7420 Å, c = 8.4529 Å
α = 90.00°, β = 108.94°, γ = 90.00°
Last column: nearest neighbours and their distance in Å.
Fractional coordinates of all 8 atoms:
Ba: 0.2361 0.0000 0.2184  3 Se 3.23-3.27, 1 Br 3.52, 2 I 3.55
Ba: 0.2559 0.5000 0.7792  3 Se 3.23-3.27, 2 Br 3.52, 1 I 3.56
Ba: 0.7441 0.5000 0.2208  3 Se 3.23-3.27, 2 Br 3.52, 1 I 3.56
Ba: 0.7639 0.0000 0.7816  3 Se 3.23-3.27, 1 Br 3.52, 2 I 3.55
Se: 0.0000 0.5000 0.0000  6 Ba 3.23
Se: 0.5000 0.0000 0.0000  6 Ba 3.27
I: 0.5000 0.5000 0.5000  6 Ba 3.55-3.56
Br: 0.0000 0.0000 0.5000  6 Ba 3.52

DOS(E_F) in states/eV/atom: 0.50
Formation energy without anion corrections in eV per atom: -1.770
DFT total energy in eV per atom: -4.005
Space-group type: P2/m

(11)
Material: BaSe2IBr
Method: DFT, PBE-GGA
State: optimized geometry

a = 5.5717 Å, b = 5.5717 Å, c = 5.6657 Å
α = 90.00°, β = 90.00°, γ = 90.00°
Last column: nearest neighbours and their distance in Å.
Fractional coordinates of all 5 atoms:
Ba: 0.0000 0.0000 0.0000  4 Br 3.94, 8 Se 3.97
Se: 0.0000 0.5000 0.5000  2 I 2.79
Se: 0.5000 0.0000 0.5000  2 I 2.79
I: 0.5000 0.5000 0.5000  4 Se 2.79, 2 Br 2.83
Br: 0.5000 0.5000 0.0000  2 I 2.83

DOS(E_F) in states/eV/atom: 0.46
Offset from the most stable computed form in meV/atom: 0.0
Formation energy without anion corrections in eV per atom: -0.538
DFT total energy in eV per atom: -2.961
Space-group type: P4/mmm

Number 1: total magnetization 0.0 μB per formula unit. Number 2: total magnetization 4.1 μB per formula unit. Number 3: total magnetization 0.0 μB per formula unit. Number 4: total magnetization 0.0 μB per formula unit. Number 5: total magnetization 0.0 μB per formula unit. Number 6: total magnetization 0.0 μB per formula unit. Number 7: total magnetization 0.0 μB per formula unit. Number 8: total magnetization 0.0 μB per formula unit. Number 9: total magnetization 0.0 μB per formula unit. Number 10: total magnetization 0.0 μB per formula unit. Number 11: total magnetization 0.0 μB per formula unit.